# 1
Compound: FePC
Source: Alexandria
Functional: PBE-GGA
Structure: relaxed

Geometry as extended XYZ:
```
6
Lattice="-1.9785 0.9058 -1.3191 -1.5482 -1.5993 1.2239 -1.4460 6.4482 6.5969" Properties=species:S:1:pos:R:3 pbc="T T T"
P -2.2091 5.8924 4.9054
P -2.2602 1.8686 2.2189
C -1.9745 0.5947 0.9155
C -1.9234 4.6184 3.6021
Fe -1.5842 2.8127 4.3077
Fe -0.0871 0.3883 0.3972
```

Output
ΔH_f (0 K), meV/atom: 436
Symmetry: Amm2 (38)
D(E_F), states/eV/cell: 4.0

---

# 2
Compound: Fe2Re2Tc
Source: Alexandria
Functional: PBE-GGA
Structure: relaxed

Geometry as extended XYZ:
```
10
Lattice="-0.5161 -6.8273 1.4294 3.2390 1.0349 6.1123 -2.3952 0.4315 1.1962" Properties=species:S:1:pos:R:3 pbc="T T T"
Re -0.8045 -1.8346 2.1248
Re 0.8941 -0.2712 4.9619
Re 1.1323 -3.5263 6.6131
Re -0.5663 -5.0897 3.7759
Tc 0.0000 0.0000 0.0000
Tc 1.3615 -2.8962 3.7708
Fe 2.6473 -1.6688 5.9026
Fe 0.0757 -4.1236 1.6390
Fe 1.5637 -5.3463 5.0595
Fe 1.1593 -0.4462 2.4822
```

Output
ΔH_f (0 K), meV/atom: 144
Symmetry: P4/mbm (127)
D(E_F), states/eV/cell: 10.8

---

# 3
Compound: NaTcCl2
Source: Alexandria
Functional: PBE-GGA
Structure: relaxed

Geometry as extended XYZ:
```
4
Lattice="-7.9987 0.4570 -2.3953 -7.1919 -3.2199 -2.7991 -8.1324 -1.8508 0.6031" Properties=species:S:1:pos:R:3 pbc="T T T"
Cl -21.0225 -4.1586 -4.1384
Cl -2.3006 -0.4551 -0.4529
Na -11.6615 -2.3069 -2.2956
Tc 0.0000 0.0000 0.0000
```

Output
Symmetry: R-3m (166)
Formation energy without anion corrections, kcal/mol of atoms: -8.27
D(E_F), states/eV/cell: 0.7

---

# 4
Compound: YTmNpO6
Source: Alexandria
Functional: PBE-GGA
Structure: relaxed

Geometry as extended XYZ:
```
18
Lattice="-1.8132 -4.9474 -2.1236 5.3091 0.4721 1.9659 -2.9576 -2.6138 8.6148" Properties=species:S:1:pos:R:3 pbc="T T T"
Np -0.1785 -3.7943 1.3933
Np 0.7168 -3.2947 7.0639
Y -1.4788 -1.3069 4.3074
Y 0.0000 0.0000 0.0000
O -0.0239 -1.5933 6.1213
O 0.5622 -5.4957 2.3358
O -2.1759 -4.2346 1.7784
O 0.4854 -4.5303 5.4051
O 1.8157 -3.3364 1.0124
O -1.2775 -3.7527 7.4447
O -0.9326 -2.1031 0.4431
O 1.4708 -4.9860 8.0140
O 0.0529 -2.5587 3.0521
O 0.9317 -2.0516 8.7192
O -0.3934 -5.0374 -0.2621
O 2.7142 -2.8544 6.6787
Tm -1.6573 -5.1012 5.7007
Tm 2.1956 -1.9878 2.7565
```

Output
Symmetry: P-31c (163)
Formation energy without anion corrections, kcal/mol of atoms: -74.38

---

# 5
Compound: Ac8PtRh3I4
Source: Alexandria
Functional: PBE-GGA
Structure: relaxed

Geometry as extended XYZ:
```
16
Lattice="-2.0258 0.1037 8.5713 4.6082 -8.8375 1.1961 4.8869 6.4527 -3.4487" Properties=species:S:1:pos:R:3 pbc="T T T"
Ac 6.3534 0.1795 3.7319
Ac 7.3528 0.1283 -0.4962
Ac 1.1158 -2.4607 2.5867
Ac 0.1165 -2.4095 6.8149
Ac 3.5527 0.7541 0.8306
Ac 2.5346 0.7723 5.1154
Ac 3.9165 -3.0352 5.4881
Ac 4.9347 -3.0535 1.2032
I -1.0129 0.0519 4.2856
I 0.0000 0.0000 0.0000
I 2.4434 3.2263 -1.7244
I 1.4305 3.2782 2.5613
Rh 4.7475 -1.1924 -1.1263
Rh 3.7346 -1.1406 3.1593
Rh 1.2912 -4.3669 4.8837
Pt 2.3041 -4.4188 0.5980
```

Output
Symmetry: C2/m (12)
Formation energy without anion corrections, kcal/mol of atoms: -25.09
D(E_F), states/eV/cell: 5.6

---

# 6
Compound: Cu2MoIr
Source: Alexandria
Functional: PBE-GGA
Structure: relaxed

Geometry as extended XYZ:
```
4
Lattice="-2.8976 2.4258 -0.4148 -0.3494 0.0477 2.7198 3.0222 4.1362 3.0772" Properties=species:S:1:pos:R:3 pbc="T T T"
Ir 1.3731 2.1364 2.9021
Cu -0.8381 2.1896 1.2386
Cu -0.2895 0.1203 2.7255
Mo 0.5167 4.3031 4.1343
```

Output
ΔH_f (0 K), meV/atom: 40
Symmetry: Pmm2 (25)
D(E_F), states/eV/cell: 3.4

---

# 7
Compound: Dy4Te3S
Source: Alexandria
Functional: PBE-GGA
Structure: relaxed

Geometry as extended XYZ:
```
8
Lattice="4.1865 0.0000 0.0000 0.0000 7.0351 -2.3844 0.0000 -0.0448 7.4281" Properties=species:S:1:pos:R:3 pbc="T T T"
Dy 2.0933 5.4548 -0.1941
Dy 0.0000 5.5065 3.9730
Dy 0.0000 1.4839 1.0707
Dy 2.0933 1.5356 5.2378
Te 2.0933 3.4952 2.5218
Te 0.0000 3.5176 -1.1922
Te 0.0000 -0.0224 3.7140
S 2.0933 0.0000 0.0000
```

Output
Symmetry: Cmmm (65)
Formation energy without anion corrections, kcal/mol of atoms: -33.50
D(E_F), states/eV/cell: 3.0

---

# 8
Compound: Nb2FeNi
Source: Alexandria
Functional: PBE-GGA
Structure: relaxed

Geometry as extended XYZ:
```
4
Lattice="3.4903 0.0000 0.0000 0.0000 4.0870 0.0000 0.0000 0.0000 4.0870" Properties=species:S:1:pos:R:3 pbc="T T T"
Nb 0.0000 2.0435 0.0000
Nb 0.0000 0.0000 2.0435
Ni 1.7451 0.0000 0.0000
Fe 1.7451 2.0435 2.0435
```

Output
ΔH_f (0 K), meV/atom: -34
Symmetry: P4/mmm (123)
D(E_F), states/eV/cell: 5.1

---

# 9
Compound: Rb2BeCdBr6
Source: Alexandria
Functional: PBE-GGA
Structure: relaxed

Geometry as extended XYZ:
```
10
Lattice="-3.5638 4.3829 4.9139 -5.9483 -4.5391 -0.2654 -2.6225 -3.1234 6.5878" Properties=species:S:1:pos:R:3 pbc="T T T"
Br -3.6059 -1.7198 4.6227
Br -8.5287 -1.5598 6.6136
Br -6.8649 -0.1128 3.3548
Br -5.2847 -2.0561 1.1760
Br -2.6472 -0.0435 1.2937
Br -4.2274 1.8999 3.4725
Rb -6.6634 -3.8703 4.3233
Rb -5.4712 0.5907 6.9130
Cd 0.0000 0.0000 0.0000
Be -4.7560 -0.0781 2.3242
```

Output
Symmetry: I4/mmm (139)
Formation energy without anion corrections, kcal/mol of atoms: -25.81
D(E_F), states/eV/cell: 0.0

---

# 10
Compound: Ca3ZrW
Source: Alexandria
Functional: PBE-GGA
Structure: relaxed

Geometry as extended XYZ:
```
5
Lattice="5.4761 0.0000 0.0000 0.0000 5.4761 0.0000 0.0000 0.0000 5.4761" Properties=species:S:1:pos:R:3 pbc="T T T"
Ca 0.0000 2.7380 0.0000
Ca 2.7380 0.0000 0.0000
Ca 0.0000 0.0000 2.7380
Zr 2.7380 2.7380 2.7380
W 0.0000 0.0000 0.0000
```

Output
ΔH_f (0 K), meV/atom: 1452
Symmetry: Pm-3m (221)
D(E_F), states/eV/cell: 8.7

---

# 11
Compound: BaNa2ZrO
Source: Alexandria
Functional: PBE-GGA
Structure: relaxed

Geometry as extended XYZ:
```
5
Lattice="-4.9443 2.4368 2.5959 1.1401 -2.6514 4.6605 3.3273 4.7434 1.8846" Properties=species:S:1:pos:R:3 pbc="T T T"
Ba 0.0000 0.0000 0.0000
Zr 0.5701 -1.3257 2.3303
Na -2.4721 1.2184 1.2980
Na 1.6637 2.3717 0.9423
O -0.2384 2.2644 4.5705
```

Output
Symmetry: P4/mmm (123)
Formation energy without anion corrections, kcal/mol of atoms: 37.70
D(E_F), states/eV/cell: 7.8

---

# 12
Compound: LaCeSnGe
Source: Alexandria
Functional: PBE-GGA
Structure: relaxed

Geometry as extended XYZ:
```
4
Lattice="-3.4387 3.0094 -2.8752 -1.5382 -1.6129 -4.9174 -5.0530 -1.7151 -0.8206" Properties=species:S:1:pos:R:3 pbc="T T T"
Ge 0.0000 0.0000 0.0000
Ce -2.5075 -0.0797 -2.1533
La -7.5224 -0.2390 -6.4599
Sn -5.0149 -0.1593 -4.3066
```

Output
ΔH_f (0 K), meV/atom: -546
Symmetry: F-43m (216)
D(E_F), states/eV/cell: 8.9

---

# 13
Compound: ZnInGaHg2
Source: Alexandria
Functional: PBE-GGA
Structure: relaxed

Geometry as extended XYZ:
```
5
Lattice="5.2621 0.0000 0.0000 0.0000 5.2621 0.0000 0.0000 0.0000 4.8980" Properties=species:S:1:pos:R:3 pbc="T T T"
In 2.6310 2.6310 2.4490
Hg 0.0000 2.6310 0.0000
Hg 2.6310 0.0000 0.0000
Ga 0.0000 0.0000 2.4490
Zn 0.0000 0.0000 0.0000
```

Output
ΔH_f (0 K), meV/atom: 195
Symmetry: P4/mmm (123)
D(E_F), states/eV/cell: 2.4

---

# 14
Compound: PrZn8Rh4
Source: Alexandria
Functional: PBE-GGA
Structure: relaxed

Geometry as extended XYZ:
```
13
Lattice="5.2172 0.0000 2.0971 2.6086 6.1042 1.0485 0.3320 0.0000 6.7123" Properties=species:S:1:pos:R:3 pbc="T T T"
Zn 1.8267 4.0077 2.9938
Zn 6.0643 4.7232 7.5281
Zn 3.7225 4.0077 5.8156
Zn 4.4353 2.0965 4.0423
Zn 3.4557 1.3810 6.4795
Zn 4.7022 4.7232 3.3784
Zn 2.0936 1.3810 2.3299
Zn 1.1139 2.0965 4.7671
Rh 3.9129 3.0521 1.5728
Rh 2.7746 0.0000 4.4047
Rh 0.1660 0.0000 3.3562
Rh 1.3043 3.0521 0.5243
Pr 0.0000 0.0000 0.0000
```

Output
ΔH_f (0 K), meV/atom: -415
Symmetry: I4/mmm (139)
D(E_F), states/eV/cell: 5.3

---

# 15
Compound: BaTa2Mo
Source: Alexandria
Functional: PBE-GGA
Structure: relaxed

Geometry as extended XYZ:
```
4
Lattice="4.9207 0.0339 0.0000 -0.0378 4.9207 0.0000 -2.4415 -2.4773 3.4809" Properties=species:S:1:pos:R:3 pbc="T T T"
Ba 2.4415 2.4773 0.0000
Ta 0.0000 0.0000 0.0000
Ta -0.0189 2.4603 1.7405
Mo 2.4604 0.0169 1.7405
```

Output
ΔH_f (0 K), meV/atom: 1191
Symmetry: F-43m (216)
D(E_F), states/eV/cell: 7.1

---

# 16
Compound: Rb2NpTiS4
Source: Alexandria
Functional: PBE-GGA
Structure: relaxed

Geometry as extended XYZ:
```
16
Lattice="-1.6395 -3.8325 5.8786 -4.9246 -5.6791 -5.0759 6.8195 -4.8104 -1.2342" Properties=species:S:1:pos:R:3 pbc="T T T"
S 0.8198 -9.2177 -1.8588
S 2.5093 -4.1251 1.1109
S 2.2094 -8.9961 3.0905
S -2.2765 -10.5421 -0.3217
S -1.4210 -6.4353 3.7475
S -2.3694 -6.9681 -1.2816
S -5.9947 -8.5655 0.2615
S -1.0858 -1.8608 1.2529
Ti -0.7907 -0.9119 -0.8148
Ti -1.5440 -9.0889 -1.9386
Np -5.0712 -6.8092 -1.4810
Np 1.1136 -6.9851 4.5465
Rb 0.2853 -11.1569 1.4316
Rb -0.6819 -4.9640 0.7820
Rb -3.2148 -8.6879 2.0651
Rb 2.6375 -7.3055 0.1813
```

Output
Symmetry: Pmn2_1 (31)
Formation energy without anion corrections, kcal/mol of atoms: -26.09
D(E_F), states/eV/cell: 26.7

---

# 17
Compound: AcSiGeIr6
Source: Alexandria
Functional: PBE-GGA
Structure: relaxed

Geometry as extended XYZ:
```
18
Lattice="-6.5702 -2.6336 2.1824 3.1171 -1.4680 7.6125 0.1822 7.2603 -3.2605" Properties=species:S:1:pos:R:3 pbc="T T T"
Ir -2.0827 0.6765 0.8709
Ir -5.2848 3.1669 0.4817
Ir -0.4736 3.8592 3.2311
Ir 2.0138 -0.0083 6.0528
Ir 2.0762 3.7907 4.5792
Ir -2.8232 3.2521 1.6708
Ir -1.1883 2.4822 5.6636
Ir 0.4413 4.5607 0.5864
Ir -3.7123 -1.4020 5.9480
Ir -0.4478 -0.0935 4.8636
Ir -2.7973 -0.7006 3.3033
Ir -5.3472 -0.6321 1.9552
Si -1.7266 -2.0508 4.8975
Si -3.2851 -1.3168 1.0912
Ac -3.5686 1.9010 4.1208
Ac 0.2976 1.2577 2.4137
Ge -3.1940 2.3133 -0.5390
Ge 0.0911 3.6301 -1.6302
```

Output
Symmetry: Imma (74)
Formation energy without anion corrections, kcal/mol of atoms: 4.12
D(E_F), states/eV/cell: 22.7

---

# 18
Compound: CaAc3Tc
Source: Alexandria
Functional: PBE-GGA
Structure: relaxed

Geometry as extended XYZ:
```
5
Lattice="5.8263 0.0000 0.0000 0.0000 5.8263 0.0000 0.0000 0.0000 5.8263" Properties=species:S:1:pos:R:3 pbc="T T T"
Ac 0.0000 2.9131 0.0000
Ac 2.9131 0.0000 0.0000
Ac 0.0000 0.0000 2.9131
Tc 0.0000 0.0000 0.0000
Ca 2.9131 2.9131 2.9131
```

Output
ΔH_f (0 K), meV/atom: 54
Symmetry: Pm-3m (221)
D(E_F), states/eV/cell: 4.0

---

# 19
Compound: TlCu3Ag
Source: Alexandria
Functional: PBE-GGA
Structure: relaxed

Geometry as extended XYZ:
```
5
Lattice="4.8250 0.0000 0.0000 0.0000 4.8250 0.0000 0.0000 0.0000 4.8250" Properties=species:S:1:pos:R:3 pbc="T T T"
Cu 0.0000 2.4125 0.0000
Cu 2.4125 0.0000 0.0000
Cu 0.0000 0.0000 2.4125
Ag 0.0000 0.0000 0.0000
Tl 2.4125 2.4125 2.4125
```

Output
ΔH_f (0 K), meV/atom: 749
Symmetry: Pm-3m (221)
D(E_F), states/eV/cell: 1.6

---

# 20
Compound: Ce12InRu7
Source: Alexandria
Functional: PBE-GGA
Structure: relaxed

Geometry as extended XYZ:
```
20
Lattice="-7.9907 0.0553 2.5224 4.6279 -4.5349 5.3135 2.9287 7.8437 -0.3410" Properties=species:S:1:pos:R:3 pbc="T T T"
Ce -3.4075 -0.1771 3.5732
Ce 2.9734 3.5411 3.9217
Ce 1.5640 1.4058 5.9728
Ce -0.2457 4.4437 4.5044
Ce 2.8427 -0.3740 4.0236
Ce -3.2768 3.7381 3.4713
Ce -0.1884 -1.0796 2.9905
Ce 1.8236 1.9342 1.7543
Ce -1.9981 1.9583 1.5221
Ce -2.2577 1.4298 5.7406
Ce -0.4666 -1.3123 5.9009
Ce 0.0325 4.6763 1.5940
Ru -5.4282 5.0260 2.6102
Ru -0.2171 1.6820 3.7475
Ru 4.9940 -1.6619 4.8847
Ru 0.2664 7.1456 0.6577
Ru 5.3816 4.5454 3.4520
Ru -5.8157 -1.1814 4.0429
Ru -0.7006 -3.7815 6.8372
In 0.0000 0.0000 0.0000
```

Output
ΔH_f (0 K), meV/atom: -249
Symmetry: R-3 (148)
D(E_F), states/eV/cell: 40.7

---

# 21
Compound: GaBiF2
Source: Alexandria
Functional: PBE-GGA
Structure: relaxed

Geometry as extended XYZ:
```
4
Lattice="0.0000 3.2421 3.2421 3.2421 0.0000 3.2421 3.2421 3.2421 0.0000" Properties=species:S:1:pos:R:3 pbc="T T T"
Ga 0.0000 0.0000 0.0000
Bi 3.2421 3.2421 3.2421
F 4.8632 4.8632 4.8632
F 1.6211 1.6211 1.6211
```

Output
Symmetry: Fm-3m (225)
Formation energy without anion corrections, kcal/mol of atoms: -23.38
D(E_F), states/eV/cell: 4.2

---

# 22
Compound: CrAg4
Source: Alexandria
Functional: PBE-GGA
Structure: relaxed

Geometry as extended XYZ:
```
5
Lattice="-1.9124 1.9124 6.8710 1.9124 -1.9124 6.8710 1.9124 1.9124 -6.8710" Properties=species:S:1:pos:R:3 pbc="T T T"
Ag 0.0000 0.0000 5.5429
Ag 0.0000 0.0000 8.1991
Ag 1.9124 0.0000 3.4355
Ag 0.0000 1.9124 3.4355
Cr 0.0000 0.0000 0.0000
```

Output
ΔH_f (0 K), meV/atom: 474
Symmetry: I4/mmm (139)
D(E_F), states/eV/cell: 1.7

---

# 23
Compound: MgMnIN2
Source: Alexandria
Functional: PBE-GGA
Structure: relaxed

Geometry as extended XYZ:
```
5
Lattice="-3.7070 -0.2205 1.3741 1.2993 -1.9492 3.1923 0.7366 5.0805 2.8024" Properties=species:S:1:pos:R:3 pbc="T T T"
Mn -0.8355 1.4554 3.6844
I 0.3683 2.5402 1.4012
Mg 0.0000 0.0000 0.0000
N -1.8535 -0.1103 0.6871
N 0.6497 -0.9746 1.5962
```

Output
Symmetry: P4/mmm (123)
Formation energy without anion corrections, kcal/mol of atoms: 42.32
D(E_F), states/eV/cell: 8.3

---

# 24
Compound: MnTl2Se
Source: Alexandria
Functional: PBE-GGA
Structure: relaxed

Geometry as extended XYZ:
```
4
Lattice="8.3786 -0.4810 -0.2837 7.6908 3.3592 -0.2837 7.6908 1.3775 3.0769" Properties=species:S:1:pos:R:3 pbc="T T T"
Tl 5.5446 0.9931 0.5856
Tl 0.1538 0.0276 0.0162
Mn 11.5678 2.0719 1.2218
Se 18.3741 3.2909 1.9407
```

Output
Symmetry: R3m (160)
Formation energy without anion corrections, kcal/mol of atoms: -1.25
D(E_F), states/eV/cell: 1.4